Entry 1:
This record from the Alexandria database describes a crystal of La2BePb2 relaxed with PBEsol. The functional is meta-GGA SCAN.

As for the formation energy: 0.05 eV/atom. Its symmetry is I4/mmm, No. 139.

Cell: 4.2469 4.2469 8.8954 Å, 103.81 103.81 90.00°
Fractional coordinates of all 5 atoms:
Pb: 0.2500 0.7500 0.5000
Pb: 0.7500 0.2500 0.5000
Be: 0.0000 0.0000 0.0000
La: 0.4083 0.4083 0.8167
La: 0.5917 0.5917 0.1833



Entry 2:
This record from the Alexandria database describes a crystal of YZrHg2 relaxed with PBEsol. The functional is meta-GGA SCAN.

As for the formation energy: -0.51 eV/atom. Its symmetry is Pmm2, No. 25. Its polymorph energy (0 for the lowest one) is 0.3 kJ/mol of atoms.

Cell: 3.5186 5.0611 5.0607 Å, 90.00 90.00 90.00°
Fractional coordinates of all 4 atoms:
Y: 0.5000 0.0000 0.6245
Hg: 0.0000 0.0000 0.1244
Hg: 0.0000 0.5000 0.6258
Zr: 0.5000 0.5000 0.1253



Entry 3:
This record from the Alexandria database describes a crystal of CoSeBr2 relaxed with PBEsol. The functional is meta-GGA SCAN.

For the formation energy from raw total energies, the calculation gives 0.182 eV/atom. Its symmetry is Immm, No. 71.

Cell: 3.1651 7.1765 7.1765 Å, 34.47 77.26 77.26°
Fractional coordinates of all 4 atoms:
Br: 0.1464 0.8536 0.8536
Br: 0.8536 0.1464 0.1464
Co: 0.5000 0.0000 0.0000
Se: 0.0000 0.5000 0.5000



Entry 4:
This record from the Alexandria database describes a crystal of ZrBeNi2 relaxed with PBEsol. The functional is meta-GGA SCAN.

As for the formation energy: -0.35 eV/atom. Its symmetry is Fm-3m, No. 225. Its polymorph energy (0 for the lowest one) is 0.0 kJ/mol of atoms.

Cell: 4.1510 4.1510 4.1510 Å, 60.00 60.00 60.00°
Fractional coordinates of all 4 atoms:
Ni: 0.2500 0.2500 0.2500
Ni: 0.7500 0.7500 0.7500
Zr: 0.5000 0.5000 0.5000
Be: 0.0000 0.0000 0.0000



Entry 5:
This record from the Alexandria database describes a crystal of AlSi2Ni5 relaxed with PBEsol. The functional is meta-GGA SCAN.

For the formation energy from raw total energies, the calculation gives -0.533 eV/atom. Its symmetry is Pbam, No. 55.

Cell: 3.6098 4.9012 9.7657 Å, 90.00 90.00 90.00°
Fractional coordinates of all 16 atoms:
Al: 0.0000 0.0000 0.5000
Al: 0.0000 0.5000 0.0000
Ni: 0.0000 0.0000 0.0000
Ni: 0.0000 0.5000 0.5000
Ni: 0.0000 0.5517 0.7563
Ni: 0.0000 0.4483 0.2437
Ni: 0.0000 0.9483 0.2563
Ni: 0.0000 0.0517 0.7437
Ni: 0.5000 0.2838 0.8860
Ni: 0.5000 0.7162 0.1140
Ni: 0.5000 0.2162 0.3860
Ni: 0.5000 0.7838 0.6140
Si: 0.5000 0.3062 0.6402
Si: 0.5000 0.6938 0.3598
Si: 0.5000 0.1938 0.1402
Si: 0.5000 0.8062 0.8598



Entry 6:
This record from the Alexandria database describes a crystal of CsReNiTe2 relaxed with PBEsol. The functional is meta-GGA SCAN.

For the formation energy from raw total energies, the calculation gives 0.828 eV/atom. Its symmetry is P4/mmm, No. 123.

Cell: 4.8147 5.2799 5.2799 Å, 90.00 90.00 90.00°
Fractional coordinates of all 5 atoms:
Cs: 0.5000 0.5000 0.5000
Re: 0.5000 0.0000 0.0000
Te: 0.0000 0.0000 0.5000
Te: 0.0000 0.5000 0.0000
Ni: 0.0000 0.0000 0.0000



Entry 7:
This record from the Alexandria database describes a crystal of LaZr2Tl2 relaxed with PBEsol. The functional is meta-GGA SCAN.

As for the formation energy: -0.30 eV/atom. Its symmetry is I4/mmm, No. 139.

Cell: 4.3413 4.3413 7.5886 Å, 106.62 106.62 90.00°
Fractional coordinates of all 5 atoms:
Tl: 0.3970 0.3970 0.7941
Tl: 0.6030 0.6030 0.2059
Zr: 0.2500 0.7500 0.5000
Zr: 0.7500 0.2500 0.5000
La: 0.0000 0.0000 0.0000



Entry 8:
This record from the Alexandria database describes a crystal of CsSi2RuS relaxed with PBEsol. The functional is meta-GGA SCAN.

For the formation energy from raw total energies, the calculation gives 0.143 eV/atom. Its symmetry is P4/mmm, No. 123.

Cell: 4.5619 4.5619 5.4672 Å, 90.00 90.00 90.00°
Fractional coordinates of all 5 atoms:
Cs: 0.5000 0.5000 0.5000
Ru: 0.0000 0.0000 0.0000
S: 0.0000 0.0000 0.5000
Si: 0.0000 0.5000 0.0000
Si: 0.5000 0.0000 0.0000



Entry 9:
This record from the Alexandria database describes a crystal of Zn3Fe relaxed with PBEsol. The functional is meta-GGA SCAN.

As for the formation energy: 0.04 eV/atom. Its symmetry is Immm, No. 71.

Cell: 2.7304 4.2901 5.0450 Å, 115.16 105.70 90.00°
Fractional coordinates of all 4 atoms:
Zn: 0.7414 0.2414 0.4827
Zn: 0.5000 0.5000 0.0000
Zn: 0.2586 0.7586 0.5173
Fe: 0.0000 0.0000 0.0000



Entry 10:
This record from the Alexandria database describes a crystal of YScMo2 relaxed with PBEsol. The functional is meta-GGA SCAN.

As for the formation energy: 0.59 eV/atom. Its symmetry is Fm-3m, No. 225. Its polymorph energy (0 for the lowest one) is 48.7 kJ/mol of atoms.

Cell: 4.7440 4.7440 4.7440 Å, 60.00 60.00 60.00°
Fractional coordinates of all 4 atoms:
Mo: 0.2500 0.2500 0.2500
Mo: 0.7500 0.7500 0.7500
Sc: 0.0000 0.0000 0.0000
Y: 0.5000 0.5000 0.5000



Entry 11:
This record from the Alexandria database describes a crystal of Na2Si2As relaxed with PBEsol. The functional is meta-GGA SCAN.

For the formation energy from raw total energies, the calculation gives 0.101 eV/atom. Its symmetry is P4/mbm, No. 127.

Cell: 4.7382 6.6671 6.6671 Å, 90.00 90.00 90.00°
Fractional coordinates of all 10 atoms:
Na: 0.5000 0.1792 0.6792
Na: 0.5000 0.6792 0.8208
Na: 0.5000 0.8208 0.3208
Na: 0.5000 0.3208 0.1792
As: 0.0000 0.0000 0.0000
As: 0.0000 0.5000 0.5000
Si: 0.0000 0.3790 0.8790
Si: 0.0000 0.8790 0.6210
Si: 0.0000 0.6210 0.1210
Si: 0.0000 0.1210 0.3790



Entry 12:
This record from the Alexandria database describes a crystal of CoH20S2N2O14 relaxed with PBEsol. The functional is meta-GGA SCAN.

The uncorrected energy comes out at -508.17 eV for the cell shown. Its symmetry is P2_1/c, No. 14.

Cell: 6.2520 9.0346 12.2481 Å, 90.00 90.00 107.53°
Fractional coordinates of all 78 atoms:
Co: 0.0000 0.0000 0.0000
Co: 0.0000 0.5000 0.5000
H: 0.6798 0.9801 0.8513
H: 0.3202 0.5199 0.3513
H: 0.3202 0.0199 0.1487
H: 0.6798 0.4801 0.6487
H: 0.6601 0.0981 0.9443
H: 0.3399 0.4019 0.4443
H: 0.3399 0.9019 0.0557
H: 0.6601 0.5981 0.5557
H: 0.3264 0.2213 0.9129
H: 0.6736 0.2787 0.4129
H: 0.6736 0.7787 0.0871
H: 0.3264 0.7213 0.5871
H: 0.0959 0.2577 0.8806
H: 0.9041 0.2423 0.3806
H: 0.9041 0.7423 0.1194
H: 0.0959 0.7577 0.6194
H: 0.0053 0.1405 0.1904
H: 0.9947 0.3595 0.6904
H: 0.9947 0.8595 0.8096
H: 0.0053 0.6405 0.3096
H: 0.0578 0.2704 0.0967
H: 0.9422 0.2296 0.5967
H: 0.9422 0.7296 0.9033
H: 0.0578 0.7704 0.4033
H: 0.4597 0.0680 0.6806
H: 0.5403 0.4320 0.1806
H: 0.5403 0.9320 0.3194
H: 0.4597 0.5680 0.8194
H: 0.3978 0.2350 0.7101
H: 0.6022 0.2650 0.2101
H: 0.6022 0.7650 0.2899
H: 0.3978 0.7350 0.7899
H: 0.1927 0.0691 0.6722
H: 0.8073 0.4309 0.1722
H: 0.8073 0.9309 0.3278
H: 0.1927 0.5691 0.8278
H: 0.3792 0.1711 0.5783
H: 0.6208 0.3289 0.0783
H: 0.6208 0.8289 0.4217
H: 0.3792 0.6711 0.9217
S: 0.2612 0.0867 0.3705
S: 0.7388 0.4133 0.8705
S: 0.7388 0.9133 0.6295
S: 0.2612 0.5867 0.1295
N: 0.3578 0.1373 0.6605
N: 0.6422 0.3627 0.1605
N: 0.6422 0.8627 0.3395
N: 0.3578 0.6373 0.8395
O: 0.7008 0.0012 0.9312
O: 0.2992 0.4988 0.4312
O: 0.2992 0.9988 0.0688
O: 0.7008 0.5012 0.5688
O: 0.1663 0.1739 0.8910
O: 0.8337 0.3261 0.3910
O: 0.8337 0.8261 0.1090
O: 0.1663 0.6739 0.6090
O: 0.9657 0.1613 0.1143
O: 0.0343 0.3387 0.6143
O: 0.0343 0.8387 0.8857
O: 0.9657 0.6613 0.3857
O: 0.4093 0.0735 0.2770
O: 0.5907 0.4265 0.7770
O: 0.5907 0.9265 0.7230
O: 0.4093 0.5735 0.2230
O: 0.2070 0.9454 0.4375
O: 0.7930 0.5546 0.9375
O: 0.7930 0.0546 0.5625
O: 0.2070 0.4454 0.0625
O: 0.3882 0.2224 0.4386
O: 0.6118 0.2776 0.9386
O: 0.6118 0.7776 0.5614
O: 0.3882 0.7224 0.0614
O: 0.0536 0.1140 0.3263
O: 0.9464 0.3860 0.8263
O: 0.9464 0.8860 0.6737
O: 0.0536 0.6140 0.1737